# Nd3Sm2Te8, optimized geometry, DFT PBE-GGA
data_Nd3Sm2Te8
_space_group_name_H-M_alt 'C 1 2/m 1'
_space_group_IT_number 12
_space_group_name_Hall '-C 2y'
_cell_length_a 15.6733
_cell_length_b 8.9517
_cell_length_c 7.6974
_cell_angle_alpha 90.00
_cell_angle_beta 108.98
_cell_angle_gamma 90.00
loop_
_atom_site_label
_atom_site_fract_x
_atom_site_fract_y
_atom_site_fract_z
Nd1 0.0000 0.0000 0.0000
Nd2 0.0000 0.2591 0.5000
Sm1 0.2488 0.5000 0.1661
Te1 0.1196 0.5000 0.3974
Te2 0.1228 0.0000 0.4205
Te3 0.1238 0.2469 0.9154
# **Raw formation energy**: -1.271 eV per atom
# **Fermi-level density of states**: 7.2 states/eV/f.u.
# **VASP energy**: -130.80 eV per cell